# Ag2SbAu PBEsol relaxed
data_Ag2SbAu
_chemical_formula_sum 'Ag2 Sb1 Au1'
_cell_length_a 3.0931
_cell_length_b 4.1144
_cell_length_c 5.8831
_cell_angle_alpha 90.00
_cell_angle_beta 90.00
_cell_angle_gamma 90.00
_symmetry_space_group_name_H-M 'P m m m'
_symmetry_Int_Tables_number 47
_symmetry_space_group_name_Hall '-P 2 2'
loop_
_atom_site_label
_atom_site_fract_x
_atom_site_fract_y
_atom_site_fract_z
Ag1 0.0000 0.0000 0.2364
Sb1 0.5000 0.5000 0.5000
Au1 0.5000 0.5000 0.0000
# Energy relative to the elements, uncorrected   0.04 eV per atom
# Crystal system   orthorhombic
# Final energy   -14.9 eV per cell
# Spin magnetization   0.000 μB/f.u.